Version i
Material: Cu2RhCl
Method: DFT, GGA-PBE
State: optimized geometry

As for the spin magnetization: 0.000 μB/f.u. The value obtained for the volume is 17.82 Å³/atom.

The structure belongs to space group Cm (No. 8); the cell edges are 8.113, 2.944 and 6.026 Å and the angles 90.00°, 97.91° and 90.00°. The distinct sites, in fractional coordinates, are Cu at (0.000, 0.000, 0.000), Cu at (0.241, 0.500, 0.174), Rh at (0.261, 0.000, 0.827) and Cl at (0.167, 0.500, 0.523).


Version ii
Material: Cu2RhCl
Method: DFT, GGA-PBE
State: optimized geometry

As for the spin magnetization: 0.987 μB/f.u. The value obtained for the volume is 15.38 Å³/atom.

The structure belongs to space group Pmmm (No. 47); the cell edges are 2.963, 2.984 and 6.956 Å and the angles 90.00°, 90.00° and 90.00°. The distinct sites, in fractional coordinates, are Cu at (0.000, 0.000, 0.225), Rh at (0.500, 0.500, 0.000) and Cl at (0.500, 0.000, 0.500).


Version iii
Material: Cu2RhCl
Method: DFT, GGA-PBE
State: optimized geometry

As for the spin magnetization: 0.000 μB/f.u. The value obtained for the volume is 14.15 Å³/atom.

The structure belongs to space group Pmmm (No. 47); the cell edges are 2.922, 4.294 and 4.510 Å and the angles 90.00°, 90.00° and 90.00°. The distinct sites, in fractional coordinates, are Cu at (0.000, 0.000, 0.000), Cu at (0.500, 0.500, 0.000), Rh at (0.000, 0.500, 0.500) and Cl at (0.500, 0.000, 0.500).


Version iv
Material: Cu2RhCl
Method: DFT, GGA-PBE
State: optimized geometry

As for the spin magnetization: 0.000 μB/f.u. The value obtained for the volume is 14.11 Å³/atom.

The structure belongs to space group C2/m (No. 12); the cell edges are 9.769, 2.901 and 4.386 Å and the angles 90.00°, 114.74° and 90.00°. The distinct sites, in fractional coordinates, are Cu at (0.244, 0.000, 0.247), Rh at (0.000, 0.000, 0.500) and Cl at (0.000, 0.500, 0.000).


Most stable structure, least stable structure: version ii, version iii.


Version i
Material: Cu3RhCl
Method: DFT, GGA-PBE
State: optimized geometry

As for the spin magnetization: 0.000 μB/f.u. The value obtained for the volume is 16.04 Å³/atom.

The structure belongs to space group Pm-3m (No. 221); the cell edges are 4.313, 4.313 and 4.313 Å and the angles 90.00°, 90.00° and 90.00°. The distinct sites, in fractional coordinates, are Cu at (0.000, 0.000, 0.500), Rh at (0.500, 0.500, 0.500) and Cl at (0.000, 0.000, 0.000).


Version ii
Material: Cu3RhCl
Method: DFT, GGA-PBE
State: optimized geometry

As for the spin magnetization: 0.988 μB/f.u. The value obtained for the volume is 20.70 Å³/atom.

The structure belongs to space group Pm-3m (No. 221); the cell edges are 4.695, 4.695 and 4.695 Å and the angles 90.00°, 90.00° and 90.00°. The distinct sites, in fractional coordinates, are Cu at (0.000, 0.000, 0.500), Rh at (0.000, 0.000, 0.000) and Cl at (0.500, 0.500, 0.500).


Most stable structure, least stable structure: version i, version ii.


Version i
Material: CuRhCl6
Method: DFT, GGA-PBE
State: optimized geometry

As for the spin magnetization: 1.795 μB/f.u. The value obtained for the volume is 26.44 Å³/atom.

The structure belongs to space group C2/m (No. 12); the cell edges are 6.454, 11.311 and 6.464 Å and the angles 90.00°, 116.30° and 90.00°. The distinct sites, in fractional coordinates, are Cu at (0.000, 0.000, 0.000), Rh at (0.000, 0.500, 0.500), Cl at (0.209, 0.500, 0.290) and Cl at (0.241, 0.139, 0.242).


Version ii
Material: CuRhCl6
Method: DFT, GGA-PBE
State: optimized geometry

As for the spin magnetization: 1.704 μB/f.u. The value obtained for the volume is 21.13 Å³/atom.

The structure belongs to space group P-1 (No. 2); the cell edges are 6.008, 6.010 and 6.418 Å and the angles 62.12°, 89.98° and 60.04°. The distinct sites, in fractional coordinates, are Cu at (0.000, 0.000, 0.000), Rh at (0.500, 0.000, 0.500), Cl at (0.098, 0.160, 0.251), Cl at (0.258, 0.153, 0.749) and Cl at (0.412, 0.490, 0.252).


Most stable structure, least stable structure: version i, version ii.


Version i
Material: Cu2RhCl8
Method: DFT, GGA-PBE
State: optimized geometry

As for the spin magnetization: 0.000 μB/f.u. The value obtained for the volume is 26.05 Å³/atom.

The structure belongs to space group C2/m (No. 12); the cell edges are 9.001, 10.984 and 5.928 Å and the angles 90.00°, 102.06° and 90.00°. The distinct sites, in fractional coordinates, are Cu at (0.197, 0.000, 0.008), Rh at (0.000, 0.500, 0.500), Cl at (0.033, 0.000, 0.249), Cl at (0.129, 0.354, 0.758) and Cl at (0.209, 0.500, 0.317).


Version ii
Material: Cu2RhCl8
Method: DFT, GGA-PBE
State: optimized geometry

As for the spin magnetization: 3.043 μB/f.u. The value obtained for the volume is 26.79 Å³/atom.

The structure belongs to space group C2/m (No. 12); the cell edges are 12.203, 8.330 and 5.929 Å and the angles 90.00°, 102.02° and 90.00°. The distinct sites, in fractional coordinates, are Cu at (0.188, 0.000, 0.165), Rh at (0.000, 0.000, 0.500), Cl at (0.078, 0.192, 0.288), Cl at (0.133, 0.500, 0.741) and Cl at (0.171, 0.000, 0.773).


Most stable structure, least stable structure: version i, version ii.


Version i
Material: CuRuCl3
Method: DFT, GGA-PBE
State: optimized geometry

As for the spin magnetization: 1.330 μB/f.u. The value obtained for the volume is 21.99 Å³/atom.

The structure belongs to space group Pm-3m (No. 221); the cell edges are 4.791, 4.791 and 4.791 Å and the angles 90.00°, 90.00° and 90.00°. The distinct sites, in fractional coordinates, are Cu at (0.000, 0.000, 0.000), Ru at (0.500, 0.500, 0.500) and Cl at (0.000, 0.500, 0.500).


Version ii
Material: CuRuCl3
Method: DFT, GGA-PBE
State: optimized geometry

As for the spin magnetization: 3.462 μB/f.u. The value obtained for the volume is 21.26 Å³/atom.

The structure belongs to space group Pm-3m (No. 221); the cell edges are 4.737, 4.737 and 4.737 Å and the angles 90.00°, 90.00° and 90.00°. The distinct sites, in fractional coordinates, are Cu at (0.000, 0.000, 0.000), Ru at (0.500, 0.500, 0.500) and Cl at (0.000, 0.000, 0.500).


Most stable structure, least stable structure: version i, version ii.


Version i
Material: CuRuS2Cl
Method: DFT, GGA-PBE
State: optimized geometry

As for the spin magnetization: 0.000 μB/f.u. The value obtained for the volume is 20.68 Å³/atom.

The structure belongs to space group P4/mmm (No. 123); the cell edges are 4.519, 4.519 and 5.063 Å and the angles 90.00°, 90.00° and 90.00°. The distinct sites, in fractional coordinates, are Cu at (0.000, 0.000, 0.000), Ru at (0.500, 0.500, 0.500), S at (0.000, 0.500, 0.500) and Cl at (0.500, 0.500, 0.000).


Version ii
Material: CuRuS2Cl
Method: DFT, GGA-PBE
State: optimized geometry

As for the spin magnetization: 4.010 μB/f.u. The value obtained for the volume is 19.18 Å³/atom.

The structure belongs to space group P4/mmm (No. 123); the cell edges are 4.556, 4.556 and 4.620 Å and the angles 90.00°, 90.00° and 90.00°. The distinct sites, in fractional coordinates, are Cu at (0.000, 0.000, 0.000), Ru at (0.500, 0.500, 0.500), S at (0.000, 0.500, 0.000) and Cl at (0.000, 0.000, 0.500).


Most stable structure, least stable structure: version i, version ii.